The following is a DFT calculation (PBE-GGA) of a geometry-optimized KTeN2 structure.

Properties
SG	No. 166
formation energy from raw total energies	0.8974	eV/atom

Cell: 3.379 3.379 22.287 Å, 90.00 90.00 120.00°
Fractional positions:
K: 0.000 0.000 0.000
K: 0.333 0.667 0.667
K: 0.667 0.333 0.333
Te: 0.000 0.000 0.500
Te: 0.333 0.667 0.167
Te: 0.667 0.333 0.833
N: 0.000 0.000 0.116
N: 0.000 0.000 0.884
N: 0.333 0.667 0.550
N: 0.333 0.667 0.783
N: 0.667 0.333 0.217
N: 0.667 0.333 0.450


The following is a DFT calculation (PBE-GGA) of a geometry-optimized Ba2Sr2Ni structure.

Properties
SG	No. 139
total DFT energy (no corrections)	-1.916	eV per atom

Cell: 4.571 4.571 21.580 Å, 90.00 90.00 90.00°
Fractional positions:
Ba: 0.000 0.500 0.250
Ba: 0.000 0.500 0.750
Ba: 0.500 0.000 0.250
Ba: 0.500 0.000 0.750
Sr: 0.000 0.000 0.081
Sr: 0.000 0.000 0.919
Sr: 0.500 0.500 0.419
Sr: 0.500 0.500 0.581
Ni: 0.000 0.000 0.500
Ni: 0.500 0.500 0.000


The following is a DFT calculation (PBE-GGA) of a geometry-optimized MgHg2Cl structure.

Properties
SG	No. 47
formation energy from raw total energies	-0.3413	eV/atom

Cell: 3.764 4.603 5.809 Å, 90.00 90.00 90.00°
Fractional positions:
Mg: 0.000 0.000 0.000
Hg: 0.000 0.500 0.500
Hg: 0.500 0.000 0.500
Cl: 0.500 0.500 0.000


The following is a DFT calculation (PBE-GGA) of a geometry-optimized LiDyI structure.

Properties
SG	No. 129
formation energy from raw total energies	-0.6159	eV/atom

Cell: 3.922 3.922 12.291 Å, 90.00 90.00 90.00°
Fractional positions:
Li: 0.250 0.250 0.232
Li: 0.750 0.750 0.768
Dy: 0.250 0.250 0.584
Dy: 0.750 0.750 0.416
I: 0.250 0.250 0.839
I: 0.750 0.750 0.161


The following is a DFT calculation (PBE-GGA) of a geometry-optimized OsAuBr structure.

Properties
SG	No. 107
formation energy from raw total energies	1.0608	eV/atom

Cell: 3.037 3.037 12.689 Å, 90.00 90.00 90.00°
Fractional positions:
Os: 0.000 0.000 0.000
Os: 0.500 0.500 0.500
Au: 0.000 0.000 0.644
Au: 0.500 0.500 0.144
Br: 0.000 0.000 0.377
Br: 0.500 0.500 0.877


The following is a DFT calculation (PBE-GGA) of a geometry-optimized ScV3Sb structure.

Properties
SG	No. 221
formation energy from raw total energies	1.3925	eV/atom

Cell: 4.520 4.520 4.520 Å, 90.00 90.00 90.00°
Fractional positions:
Sc: 0.000 0.000 0.000
V: 0.000 0.000 0.500
V: 0.000 0.500 0.000
V: 0.500 0.000 0.000
Sb: 0.500 0.500 0.500


The following is a DFT calculation (PBE-GGA) of a geometry-optimized Tm4MgPt structure.

Properties
SG	No. 109
total DFT energy (no corrections)	-4.306	eV per atom

Cell: 7.992 7.992 7.992 Å, 110.23 110.23 107.97°
Fractional positions:
Tm: 0.130 0.447 0.683
Tm: 0.197 0.014 0.817
Tm: 0.197 0.380 0.183
Tm: 0.300 0.000 0.300
Tm: 0.700 0.000 0.700
Tm: 0.750 0.550 0.800
Tm: 0.750 0.950 0.200
Tm: 0.764 0.447 0.317
Mg: 0.230 0.730 0.500
Mg: 0.480 0.480 0.000
Pt: 0.721 0.221 0.500
Pt: 0.971 0.971 0.000


The following is a DFT calculation (PBE-GGA) of a geometry-optimized Tb6Sm2Sc3 structure.

Properties
SG	No. 2
total DFT energy (no corrections)	-5.066	eV per atom

Cell: 6.041 7.798 7.827 Å, 107.67 97.63 104.81°
Fractional positions:
Tb: 0.047 0.184 0.412
Tb: 0.139 0.546 0.236
Tb: 0.320 0.275 0.864
Tb: 0.680 0.725 0.136
Tb: 0.861 0.454 0.764
Tb: 0.953 0.816 0.588
Sm: 0.231 0.911 0.051
Sm: 0.769 0.089 0.949
Sc: 0.412 0.636 0.678
Sc: 0.500 0.000 0.500
Sc: 0.588 0.364 0.322